Computed, not measured: a relaxed structure of LaSm2Ho at the PBE-GGA level of DFT.

Energy above the most stable polymorph in this dataset: 131 meV/atom
Magnetization: 4.76 μB/cell

Unit cell a=8.1910 b=8.1910 c=8.1910 alpha=90.00 beta=90.00 gamma=90.00
Space group Fm-3m (No. 225)
Inequivalent atoms, fractional coordinates:
La 0.0000 0.0000 0.0000
Sm 0.2500 0.2500 0.2500
Ho 0.0000 0.0000 0.5000


Computed, not measured: a relaxed structure of La4Sm2Ho at the PBE-GGA level of DFT.

Energy above the most stable polymorph in this dataset: 138 meV/atom
Magnetization: 0.00 μB/cell

Unit cell a=6.9655 b=11.6761 c=12.3162 alpha=90.00 beta=90.00 gamma=90.00
Space group Imma (No. 74)
Inequivalent atoms, fractional coordinates:
La 0.0000 0.0036 0.1491
La 0.2189 0.2500 0.9931
Sm 0.0000 0.0000 0.5000
Sm 0.0000 0.2500 0.7164
Ho 0.2500 0.2500 0.2500


Computed, not measured: a relaxed structure of La5Sm2Ho2 at the PBE-GGA level of DFT.

Energy above the most stable polymorph in this dataset: 0 meV/atom
Magnetization: 0.00 μB/cell

Unit cell a=11.6788 b=5.1849 c=10.9898 alpha=90.00 beta=109.07 gamma=90.00
Space group C2/m (No. 12)
Inequivalent atoms, fractional coordinates:
La 0.0000 0.0000 0.0000
La 0.1653 0.5000 0.8891
La 0.1674 0.5000 0.5540
Sm 0.0010 0.0000 0.6676
Ho 0.1679 0.5000 0.2239


| no. | formation enthalpy at 0 K (eV per atom) | D(E_F) (states/eV/f.u.) |
| --- | --- | --- |
| 1 | 0.152 | 10.1 |
| 2 | 0.205 | 9.6 |
| 3 | 0.028 | 17.5 |